Entry 1:
Ca2LaHoS4 | PBE-GGA | optimized geometry

Results
Formation energy (no corrections), meV/atom: -2065.0
Final energy, eV/atom: -5.817
M_tot, μB/cell: 0.0

abc: 4.004 6.954 7.023
angles: 109.14 90.00 90.00
Positions (direct):
1 Ho 0.000 0.000 0.000
2 S 0.000 0.237 0.745
3 Ca 0.500 0.000 0.500
4 Ca 0.000 0.500 0.500
5 La 0.500 0.500 0.000
6 S 0.500 0.239 0.247
7 S 0.000 0.763 0.255
8 S 0.500 0.761 0.753

Entry 2:
GdAgPd2 | PBE-GGA | optimized geometry

Results
Final energy, eV/atom: -7.390
M_tot, μB/cell: 7.1
Energy of formation, eV per atom: -0.560

abc: 3.555 3.555 6.050
angles: 90.00 90.00 90.00
Positions (direct):
1 Pd 0.000 0.000 0.740
2 Ag 0.500 0.500 0.500
3 Pd 0.000 0.000 0.260
4 Gd 0.500 0.500 0.000

Entry 3:
PaReAs2 | PBE-GGA | optimized geometry

Results
Final energy, eV/atom: -7.763
M_tot, μB/cell: 0.0
Energy of formation, eV per atom: 0.048

abc: 3.114 3.114 9.725
angles: 80.79 80.79 60.00
Positions (direct):
1 As 0.103 0.103 0.690
2 Pa 0.000 0.000 0.000
3 Re 0.500 0.500 0.500
4 As 0.897 0.897 0.310

Entry 4:
ZrMo2Ir | PBE-GGA | optimized geometry

Results
Final energy, eV/atom: -9.833
M_tot, μB/cell: 0.0
Excess energy over the best structure of this formula in the dataset, meV/atom: 132
Energy of formation, eV per atom: -0.065

abc: 4.655 2.812 5.207
angles: 79.09 90.00 90.00
Positions (direct):
1 Mo 0.000 0.495 0.500
2 Ir 0.500 0.750 0.750
3 Mo 0.000 0.005 0.000
4 Zr 0.500 0.250 0.250

Entry 5:
LiNbNF2 | PBE-GGA | optimized geometry

Results
Formation energy (no corrections), meV/atom: -1589.5
Final energy, eV/atom: -6.400
M_tot, μB/cell: 0.9
Excess energy over the best structure of this formula in the dataset, meV/atom: 0

abc: 4.236 4.236 4.027
angles: 90.00 90.00 90.00
Positions (direct):
1 N 0.000 0.000 0.500
2 Nb 0.000 0.000 0.000
3 F 0.500 0.000 0.000
4 Li 0.500 0.500 0.500
5 F 0.000 0.500 0.000

Entry 6:
ZnFe2Mo | PBE-GGA | optimized geometry

Results
Final energy, eV/atom: -7.103
M_tot, μB/cell: 0.0
Energy of formation, eV per atom: 0.154

abc: 3.996 3.996 3.112
angles: 90.00 90.00 90.00
Positions (direct):
1 Fe 0.500 0.500 0.000
2 Zn 0.000 0.500 0.500
3 Fe 0.000 0.000 0.000
4 Mo 0.500 0.000 0.500